Below is crystalline AlW2 at its relaxed geometry, with properties calculated at the PBE level.

Values from the calculation:
Crystal system = tetragonal
Final energy = -9.934 eV/atom

Unit cell a=9.6069 b=9.6069 c=5.0185 alpha=90.00 beta=90.00 gamma=90.00
Space group P4_2/mnm (No. 136)
Unique sites:
Al (0.0000, 0.0000, 0.0000) (multiplicity 2)
Al (0.0662, 0.2619, 0.0000) (multiplicity 8)
W (0.0359, 0.3714, 0.5000) (multiplicity 8)
W (0.1042, 0.1042, 0.5000) (multiplicity 4)
W (0.1819, 0.8181, 0.2488) (multiplicity 8)

***

Below is crystalline Al3W at its relaxed geometry, with properties calculated at the PBE level.

Values from the calculation:
Crystal system = cubic
Final energy = -5.995 eV/atom

Unit cell a=3.9416 b=3.9416 c=3.9416 alpha=90.00 beta=90.00 gamma=90.00
Space group Pm-3m (No. 221)
Unique sites:
Al (0.0000, 0.0000, 0.5000) (multiplicity 3)
W (0.5000, 0.5000, 0.5000) (multiplicity 1)

***

Below is crystalline Al5W8 at its relaxed geometry, with properties calculated at the PBE level.

Values from the calculation:
Crystal system = trigonal
Distance to the lowest polymorph of the same formula = 106 meV/atom
Final energy = -9.165 eV/atom

Unit cell a=5.2226 b=5.2226 c=27.4550 alpha=90.00 beta=90.00 gamma=120.00
Space group R-3m (No. 166, hexagonal axes)
Unique sites:
Al (0.0000, 0.0000, 0.0000) (multiplicity 3)
Al (0.0000, 0.0000, 0.3527) (multiplicity 6)
Al (0.0000, 0.0000, 0.4534) (multiplicity 6)
W (0.0000, 0.0000, 0.1670) (multiplicity 6)
W (0.0040, 0.5020, 0.4116) (multiplicity 18)

***

Below is crystalline AlW3 at its relaxed geometry, with properties calculated at the PBE level.

Values from the calculation:
Crystal system = hexagonal
Final energy = -10.369 eV/atom

Unit cell a=5.2027 b=5.2027 c=16.4588 alpha=90.00 beta=90.00 gamma=120.00
Space group P6_3/mmc (No. 194)
Unique sites:
Al (0.1583, 0.3166, 0.2500) (multiplicity 6)
W (0.0000, 0.0000, 0.0996) (multiplicity 4)
W (0.0000, 0.5000, 0.0000) (multiplicity 6)
W (0.3333, 0.6667, 0.1272) (multiplicity 4)
W (0.3333, 0.6667, 0.6652) (multiplicity 4)

***

Below is crystalline AlW at its relaxed geometry, with properties calculated at the PBE level.

Values from the calculation:
Crystal system = hexagonal
Final energy = -8.352 eV/atom

Unit cell a=2.8505 b=2.8505 c=4.4609 alpha=90.00 beta=90.00 gamma=120.00
Space group P-6m2 (No. 187)
Unique sites:
Al (0.0000, 0.0000, 0.0000) (multiplicity 1)
W (0.6667, 0.3333, 0.5000) (multiplicity 1)

***

Below is crystalline Al2W3 at its relaxed geometry, with properties calculated at the PBE level.

Values from the calculation:
Crystal system = tetragonal
Distance to the lowest polymorph of the same formula = 123 meV/atom
Final energy = -9.130 eV/atom

Unit cell a=9.7996 b=9.7996 c=5.0504 alpha=90.00 beta=90.00 gamma=90.00
Space group P4_2/mnm (No. 136)
Unique sites:
Al (0.1034, 0.1034, 0.0000) (multiplicity 4)
Al (0.1885, 0.8115, 0.2531) (multiplicity 8)
W (0.0000, 0.0000, 0.5000) (multiplicity 2)
W (0.0347, 0.3733, 0.0000) (multiplicity 8)
W (0.0631, 0.2593, 0.5000) (multiplicity 8)

***

Below is crystalline AlW5 at its relaxed geometry, with properties calculated at the PBE level.

Values from the calculation:
Crystal system = hexagonal
Distance to the lowest polymorph of the same formula = 126 meV/atom
Final energy = -11.046 eV/atom

Unit cell a=5.2412 b=5.2412 c=17.1524 alpha=90.00 beta=90.00 gamma=120.00
Space group P6_3/mmc (No. 194)
Unique sites:
Al (0.3333, 0.6667, 0.1567) (multiplicity 4)
W (0.0000, 0.0000, 0.0936) (multiplicity 4)
W (0.0000, 0.5000, 0.0000) (multiplicity 6)
W (0.1621, 0.3242, 0.7500) (multiplicity 6)
W (0.3333, 0.6667, 0.6249) (multiplicity 4)

***

Below is crystalline AlW3 at its relaxed geometry, with properties calculated at the PBE level.

Values from the calculation:
Crystal system = cubic
Final energy = -10.516 eV/atom

Unit cell a=6.3229 b=6.3229 c=6.3229 alpha=90.00 beta=90.00 gamma=90.00
Space group Fm-3m (No. 225)
Unique sites:
Al (0.0000, 0.0000, 0.0000) (multiplicity 4)
W (0.0000, 0.0000, 0.5000) (multiplicity 4)
W (0.2500, 0.2500, 0.2500) (multiplicity 8)

***

Below is crystalline Al7W8 at its relaxed geometry, with properties calculated at the PBE level.

Values from the calculation:
Crystal system = tetragonal
Distance to the lowest polymorph of the same formula = 0 meV/atom
Final energy = -8.681 eV/atom

Unit cell a=9.4944 b=9.4944 c=5.1785 alpha=90.00 beta=90.00 gamma=90.00
Space group P4_2/mnm (No. 136)
Unique sites:
Al (0.0000, 0.0000, 0.0000) (multiplicity 2)
Al (0.0689, 0.2664, 0.0000) (multiplicity 8)
Al (0.1000, 0.1000, 0.5000) (multiplicity 4)
W (0.0390, 0.3716, 0.5000) (multiplicity 8)
W (0.1784, 0.8216, 0.2510) (multiplicity 8)

***

Below is crystalline Al2W11 at its relaxed geometry, with properties calculated at the PBE level.

Values from the calculation:
Crystal system = trigonal
Distance to the lowest polymorph of the same formula = 69 meV/atom
Final energy = -11.205 eV/atom

Unit cell a=5.2149 b=5.2149 c=27.9410 alpha=90.00 beta=90.00 gamma=120.00
Space group R-3m (No. 166, hexagonal axes)
Unique sites:
Al (0.0000, 0.0000, 0.1499) (multiplicity 6)
W (0.0000, 0.0000, 0.0447) (multiplicity 6)
W (0.0000, 0.0000, 0.3332) (multiplicity 6)
W (0.0000, 0.0000, 0.5000) (multiplicity 3)
W (0.0033, 0.5016, 0.9114) (multiplicity 18)

***

Below is crystalline AlW at its relaxed geometry, with properties calculated at the PBE level.

Values from the calculation:
Crystal system = hexagonal
Final energy = -8.228 eV/atom

Unit cell a=5.0193 b=5.0193 c=8.4360 alpha=90.00 beta=90.00 gamma=120.00
Space group P6_3/mmc (No. 194)
Unique sites:
Al (0.1698, 0.3397, 0.2500) (multiplicity 6)
W (0.0000, 0.0000, 0.0000) (multiplicity 2)
W (0.3333, 0.6667, 0.5813) (multiplicity 4)

***

Below is crystalline Al13W16 at its relaxed geometry, with properties calculated at the PBE level.

Values from the calculation:
Crystal system = cubic
Distance to the lowest polymorph of the same formula = 0 meV/atom
Final energy = -8.723 eV/atom

Unit cell a=9.6865 b=9.6865 c=9.6865 alpha=90.00 beta=90.00 gamma=90.00
Space group I-43m (No. 217)
Unique sites:
Al (0.0000, 0.0000, 0.0000) (multiplicity 2)
Al (0.0946, 0.0946, 0.7161) (multiplicity 24)
W (0.0474, 0.3663, 0.6337) (multiplicity 24)
W (0.1812, 0.1812, 0.1812) (multiplicity 8)